# 1
## YZn3In (GGA-PBE)

Data for YZn3In after structural relaxation.

Cell lengths 5.569, 5.569, 5.569 Å; angles 90.00, 90.00, 90.00 degrees
Fractional positions:
Y: 0.000 0.000 0.000
Zn: 0.000 0.500 0.000
Zn: 0.000 0.000 0.500
Zn: 0.500 0.000 0.000
In: 0.500 0.500 0.500

DFT formation energy: 0.765 eV/atom
total DFT energy (no corrections): -9.2 eV for the cell shown
space group: Pm-3m, No. 221



# 2
## Ag3SnO (GGA-PBE)

Data for Ag3SnO after structural relaxation.

Cell lengths 4.569, 4.569, 4.569 Å; angles 90.00, 90.00, 90.00 degrees
Fractional positions:
O: 0.000 0.000 0.000
Sn: 0.500 0.500 0.500
Ag: 0.000 0.500 0.000
Ag: 0.000 0.000 0.500
Ag: 0.500 0.000 0.000

energy relative to the elements, uncorrected: 0.102 eV/atom
total DFT energy (no corrections): -17.0 eV for the cell shown
space group: Pm-3m, No. 221



# 3
## Ba3BiSb2 (GGA-PBE)

Data for Ba3BiSb2 after structural relaxation.

Cell lengths 5.254, 4.741, 9.580 Å; angles 90.00, 105.92, 90.00 degrees
Fractional positions:
Ba: 0.324 0.000 0.647
Ba: 0.676 0.000 0.353
Ba: 0.500 0.500 0.000
Bi: 0.000 0.000 0.000
Sb: 0.142 0.500 0.284
Sb: 0.858 0.500 0.716

energy relative to the elements, uncorrected: -0.788 eV/atom
total DFT energy (no corrections): -22.6 eV for the cell shown
space group: Cmmm, No. 65



# 4
## Sm4Tm7In (GGA-PBE)

Data for Sm4Tm7In after structural relaxation.

Cell lengths 5.609, 12.599, 6.557 Å; angles 99.16, 64.68, 77.14 degrees
Fractional positions:
Sm: 0.692 0.231 0.385
Sm: 0.308 0.769 0.615
Sm: 0.639 0.721 0.002
Sm: 0.361 0.279 0.998
Tm: 0.857 0.892 0.395
Tm: 0.143 0.108 0.605
Tm: 0.999 0.611 0.391
Tm: 0.001 0.389 0.609
Tm: 0.333 0.529 0.804
Tm: 0.500 0.000 0.000
Tm: 0.667 0.471 0.196
In: 0.000 0.000 0.000

DFT formation energy: 0.158 eV/atom
total DFT energy (no corrections): -51.0 eV for the cell shown
space group: C2/m, No. 12



# 5
## Zr4Zn2Hg3 (GGA-PBE)

Data for Zr4Zn2Hg3 after structural relaxation.

Cell lengths 3.367, 5.778, 10.565 Å; angles 71.60, 90.01, 73.01 degrees
Fractional positions:
Zr: 0.670 0.661 0.880
Zr: 0.017 0.967 0.344
Zr: 0.983 0.033 0.656
Zr: 0.330 0.339 0.120
Zn: 0.350 0.299 0.797
Zn: 0.650 0.701 0.203
Hg: 0.312 0.376 0.412
Hg: 0.000 0.000 0.000
Hg: 0.688 0.624 0.588

DFT formation energy: -0.084 eV/atom
total DFT energy (no corrections): -38.4 eV for the cell shown
space group: P-1, No. 2



# 6
## LaNb2Ga2 (GGA-PBE)

Data for LaNb2Ga2 after structural relaxation.

Cell lengths 8.279, 8.279, 2.940 Å; angles 90.00, 90.00, 90.00 degrees
Fractional positions:
Nb: 0.384 0.884 0.000
Nb: 0.884 0.616 0.000
Nb: 0.616 0.116 0.000
Nb: 0.116 0.384 0.000
Ga: 0.175 0.675 0.500
Ga: 0.675 0.825 0.500
Ga: 0.825 0.325 0.500
Ga: 0.325 0.175 0.500
La: 0.000 0.000 0.000
La: 0.500 0.500 0.000

DFT formation energy: -0.182 eV/atom
total DFT energy (no corrections): -64.1 eV for the cell shown
space group: P4/mbm, No. 127



Which formula does entry 5 have? Zr4Zn2Hg3